A plane-wave DFT calculation with PBE was carried out for a relaxed structure of Li3Ge2Pt6.

POSCAR file:
```
Li3Ge2Pt6
1.0
-4.6650 4.6650 4.6650
4.6650 -4.6650 4.6650
4.6650 4.6650 -4.6650
Li Ge Pt
6 4 12
direct
0.0000 0.3382 0.3382
0.0000 0.6618 0.6618
0.3382 0.0000 0.3382
0.3382 0.3382 0.0000
0.6618 0.0000 0.6618
0.6618 0.6618 0.0000
0.0000 0.0000 0.5000
0.0000 0.5000 0.0000
0.5000 0.0000 0.0000
0.5000 0.5000 0.5000
0.0000 0.3174 0.6826
0.0000 0.6826 0.3174
0.3174 0.0000 0.6826
0.3174 0.3174 0.6348
0.3174 0.6348 0.3174
0.3174 0.6826 0.0000
0.3652 0.6826 0.6826
0.6348 0.3174 0.3174
0.6826 0.0000 0.3174
0.6826 0.3174 0.0000
0.6826 0.3652 0.6826
0.6826 0.6826 0.3652
```

Computed properties:
DFT formation energy, eV per atom: -0.53
Space-group type: Im-3m, No. 229

A plane-wave DFT calculation with PBE was carried out for a relaxed structure of MgScSn2Pd4.

POSCAR file:
```
MgScSn2Pd4
1.0
2.3112 1.3343 7.5690
-2.3112 1.3343 7.5690
0.0000 -2.6687 7.5690
Mg Sc Sn Pd
1 1 2 4
direct
0.0000 0.0000 0.0000
0.5000 0.5000 0.5000
0.2501 0.2501 0.2501
0.7499 0.7499 0.7499
0.1233 0.1233 0.1233
0.3746 0.3746 0.3746
0.6254 0.6254 0.6254
0.8767 0.8767 0.8767
```

Computed properties:
DFT formation energy, eV per atom: -0.77
Space-group type: R-3m, No. 166

A plane-wave DFT calculation with PBE was carried out for a relaxed structure of KLaPCl2.

POSCAR file:
```
KLaPCl2
1.0
5.6601 0.0000 0.0000
0.0000 5.6601 0.0000
0.0000 0.0000 5.5586
K La P Cl
1 1 1 2
direct
0.0000 0.0000 0.0000
0.5000 0.5000 0.5000
0.5000 0.5000 0.0000
0.0000 0.5000 0.5000
0.5000 0.0000 0.5000
```

Computed properties:
Space-group type: P4/mmm, No. 123
Formation energy (no corrections), eV per formula unit: -6.93

A plane-wave DFT calculation with PBE was carried out for a relaxed structure of Sm5Dy2Ho3.

POSCAR file:
```
Sm5Dy2Ho3
1.0
5.3432 -7.5205 0.0000
5.3432 7.5205 0.0000
-5.3392 0.0000 8.2806
Sm Dy Ho
10 4 6
direct
0.0234 0.9766 0.7500
0.1194 0.3650 0.7336
0.2269 0.7731 0.7500
0.2707 0.7293 0.2500
0.3650 0.1194 0.2336
0.6350 0.8806 0.7664
0.7293 0.2707 0.7500
0.7731 0.2269 0.2500
0.8806 0.6350 0.2664
0.9766 0.0234 0.2500
0.2287 0.4764 0.4462
0.4764 0.2287 0.9462
0.5236 0.7713 0.0538
0.7713 0.5236 0.5538
0.0332 0.2801 0.0538
0.2801 0.0332 0.5538
0.4785 0.5215 0.2500
0.5215 0.4785 0.7500
0.7199 0.9668 0.4462
0.9668 0.7199 0.9462
```

Computed properties:
DFT formation energy, eV per atom: 0.19
Offset from the most stable computed form, eV per atom: 0.000
Space-group type: C2/c, No. 15

A plane-wave DFT calculation with PBE was carried out for a relaxed structure of Cu3P.

POSCAR file:
```
Cu3P
1.0
-1.8091 1.8091 3.7379
1.8091 -1.8091 3.7379
1.8091 1.8091 -3.7379
Cu P
3 1
direct
0.0000 0.0000 0.0000
0.2500 0.7500 0.5000
0.7500 0.2500 0.5000
0.5000 0.5000 0.0000
```

Computed properties:
DFT formation energy, eV per atom: 0.06
Space-group type: I4/mmm, No. 139

A plane-wave DFT calculation with PBE was carried out for a relaxed structure of Dy2HoRu3.

POSCAR file:
```
Dy2HoRu3
1.0
4.7946 0.0000 0.0000
-2.3973 4.1523 0.0000
0.0000 0.0000 5.8858
Dy Ho Ru
2 1 3
direct
0.3333 0.6667 0.1672
0.6667 0.3333 0.8328
0.0000 0.0000 0.5000
0.0000 0.0000 0.0000
0.3333 0.6667 0.6663
0.6667 0.3333 0.3337
```

Computed properties:
DFT formation energy, eV per atom: -0.33
Offset from the most stable computed form, eV per atom: 0.006
Space-group type: P-3m1, No. 164

Asked for E_tot across the records above, the calculation gives -5.19, -5.35, -4.41, -4.46, -4.37, -7.26 eV per atom in order.